# YInP2 PBE optimized geometry
# ΔE_f	0.049	eV per atom
# density	5.2	g cm⁻³
# magnetic moment	0.0	μB per formula unit
data_YInP2
_cell_length_a 4.934
_cell_length_b 4.934
_cell_length_c 4.934
_cell_angle_alpha 60.00
_cell_angle_beta 60.00
_cell_angle_gamma 60.00
_symmetry_space_group_name_H-M 'P 1'
_symmetry_Int_Tables_number 1
_symmetry_space_group_name_Hall 'P 1'
loop_
_atom_site_label
_atom_site_fract_x
_atom_site_fract_y
_atom_site_fract_z
Y1 0.000 0.000 0.000
In1 0.250 0.250 0.250
P1 0.500 0.500 0.500
P2 0.750 0.750 0.750

***

# Y2InP PBE optimized geometry
# ΔE_f	-0.699	eV per atom
# density	5.1	g cm⁻³
# magnetic moment	0.0	μB per formula unit
data_Y2InP
_cell_length_a 4.111
_cell_length_b 4.322
_cell_length_c 5.942
_cell_angle_alpha 90.00
_cell_angle_beta 90.00
_cell_angle_gamma 90.00
_symmetry_space_group_name_H-M 'P 1'
_symmetry_Int_Tables_number 1
_symmetry_space_group_name_Hall 'P 1'
loop_
_atom_site_label
_atom_site_fract_x
_atom_site_fract_y
_atom_site_fract_z
Y1 0.000 0.000 0.000
Y2 0.500 0.500 0.500
In1 0.000 0.000 0.500
P1 0.500 0.500 0.000

***

# Y2InP PBE optimized geometry
# ΔE_f	-0.626	eV per atom
# density	5.0	g cm⁻³
# magnetic moment	0.0	μB per formula unit
data_Y2InP
_cell_length_a 6.547
_cell_length_b 6.547
_cell_length_c 6.547
_cell_angle_alpha 106.31
_cell_angle_beta 106.31
_cell_angle_gamma 116.01
_symmetry_space_group_name_H-M 'P 1'
_symmetry_Int_Tables_number 1
_symmetry_space_group_name_Hall 'P 1'
loop_
_atom_site_label
_atom_site_fract_x
_atom_site_fract_y
_atom_site_fract_z
Y1 0.087 0.625 0.962
Y2 0.375 0.337 0.462
Y3 0.663 0.125 0.038
Y4 0.875 0.913 0.538
In1 0.250 0.750 0.500
In2 0.500 0.500 0.000
P1 0.000 0.000 0.000
P2 0.750 0.250 0.500

***

ΔE_f of number 3 (Y2InP)?
-0.626 eV per atom